one:
First-principles (PBE-GGA) data for a relaxed structure of Pm2Dy4Sc, as listed in the Alexandria database.

Cell and atoms, written as POSCAR:
```
Pm2Dy4Sc
1.0
-3.066 1.809 0.133
-1.541 0.666 3.142
8.616 17.932 2.445
Sc Dy Pm
1 4 2
Direct
0.000 0.000 0.000 Sc
0.378 0.378 0.866 Dy
0.908 0.908 0.277 Dy
0.092 0.092 0.723 Dy
0.622 0.622 0.134 Dy
0.192 0.192 0.424 Pm
0.808 0.808 0.576 Pm
```

Calculated values
Volume = 31.3 Å³/atom
SG = No. 166
Crystal system = trigonal
N(E_F) = 8.8 states/eV per cell

***

two:
First-principles (PBE-GGA) data for a relaxed structure of Pm2Dy4Sc, as listed in the Alexandria database.

Cell and atoms, written as POSCAR:
```
Pm2Dy4Sc
1.0
5.357 0.000 0.000
0.000 5.357 0.000
-2.679 -2.679 8.648
Dy Sc Pm
4 1 2
Direct
0.000 0.500 0.000 Dy
0.825 0.825 0.650 Dy
0.175 0.175 0.350 Dy
0.500 0.000 0.000 Dy
0.000 0.000 0.000 Sc
0.374 0.374 0.748 Pm
0.626 0.626 0.252 Pm
```

Calculated values
Volume = 35.5 Å³/atom
SG = No. 139
Crystal system = tetragonal
N(E_F) = 8.8 states/eV per cell

***

one wins, 535 meV per atom ahead of the next structure.

***

one:
First-principles (PBE-GGA) data for a relaxed structure of PmDySc2, as listed in the Alexandria database.

Cell and atoms, written as POSCAR:
```
PmDySc2
1.0
5.443 0.000 0.000
2.722 4.714 0.000
2.722 1.571 4.445
Sc Dy Pm
2 1 1
Direct
0.250 0.250 0.250 Sc
0.750 0.750 0.750 Sc
0.000 0.000 0.000 Dy
0.500 0.500 0.500 Pm
```

Calculated values
Volume = 28.5 Å³/atom
SG = No. 225
Crystal system = cubic
N(E_F) = 5.7 states/eV per cell

***

two:
First-principles (PBE-GGA) data for a relaxed structure of PmDySc2, as listed in the Alexandria database.

Cell and atoms, written as POSCAR:
```
PmDySc2
1.0
3.458 0.000 0.000
1.729 2.995 0.000
1.729 0.998 11.021
Sc Pm Dy
2 1 1
Direct
0.251 0.251 0.246 Sc
0.082 0.082 0.754 Sc
0.501 0.501 0.498 Pm
0.666 0.666 0.001 Dy
```

Calculated values
Volume = 28.5 Å³/atom
SG = No. 160
Crystal system = trigonal
N(E_F) = 6.3 states/eV per cell

***

two wins, 9 meV per atom ahead of the next structure.

***

one:
First-principles (PBE-GGA) data for a relaxed structure of PmDySc2, as listed in the Alexandria database.

Cell and atoms, written as POSCAR:
```
PmDySc2
1.0
-2.548 2.354 -0.595
-2.022 -1.581 2.408
3.509 5.445 6.520
Dy Sc Pm
1 2 1
Direct
0.500 0.500 0.500 Dy
0.000 0.000 0.747 Sc
0.000 0.000 0.253 Sc
0.500 0.500 0.000 Pm
```

Calculated values
Volume = 28.5 Å³/atom
SG = No. 123
Crystal system = tetragonal
N(E_F) = 6.3 states/eV per cell

***

two:
First-principles (PBE-GGA) data for a relaxed structure of PmDySc2, as listed in the Alexandria database.

Cell and atoms, written as POSCAR:
```
PmDySc2
1.0
-2.413 2.444 0.300
-3.020 -0.351 -1.625
-5.938 -4.453 8.346
Sc Dy Pm
2 1 1
Direct
0.249 0.249 0.252 Sc
0.751 0.751 0.748 Sc
0.500 0.500 0.500 Dy
0.000 0.000 0.000 Pm
```

Calculated values
Volume = 28.3 Å³/atom
SG = No. 166
Crystal system = trigonal
N(E_F) = 5.1 states/eV per cell

***

one wins, 8 meV per atom ahead of the next structure.

***

one:
First-principles (PBE-GGA) data for a relaxed structure of Pm7Dy4Sc, as listed in the Alexandria database.

Cell and atoms, written as POSCAR:
```
Pm7Dy4Sc
1.0
5.389 0.000 0.000
2.694 13.026 -1.714
2.694 -0.245 5.692
Dy Pm Sc
4 7 1
Direct
0.411 0.266 0.913 Dy
0.250 0.782 0.717 Dy
0.589 0.734 0.087 Dy
0.750 0.218 0.283 Dy
0.165 0.106 0.564 Pm
0.835 0.894 0.436 Pm
0.500 0.000 0.000 Pm
0.675 0.466 0.184 Pm
0.957 0.632 0.455 Pm
0.043 0.368 0.545 Pm
0.325 0.534 0.816 Pm
0.000 0.000 0.000 Sc
```

Calculated values
Volume = 33.1 Å³/atom
SG = No. 12
Crystal system = monoclinic
N(E_F) = 16.6 states/eV per cell

***

two:
First-principles (PBE-GGA) data for a relaxed structure of Pm7Dy4Sc, as listed in the Alexandria database.

Cell and atoms, written as POSCAR:
```
Pm7Dy4Sc
1.0
-2.772 -4.257 2.685
6.336 -2.445 2.665
0.899 -0.596 12.281
Pm Dy Sc
7 4 1
Direct
0.095 0.663 0.613 Pm
0.823 0.835 0.385 Pm
0.822 0.336 0.387 Pm
0.761 0.159 0.947 Pm
0.098 0.170 0.610 Pm
0.762 0.671 0.947 Pm
0.153 0.334 0.056 Pm
0.435 0.670 0.274 Dy
0.484 0.328 0.725 Dy
0.429 0.166 0.279 Dy
0.484 0.836 0.724 Dy
0.153 0.833 0.055 Sc
```

Calculated values
Volume = 33.0 Å³/atom
SG = No. 6
Crystal system = monoclinic
N(E_F) = 21.2 states/eV per cell

***

two wins, 153 meV per atom ahead of the next structure.

***

one:
First-principles (PBE-GGA) data for a relaxed structure of Pm6Dy3Sc, as listed in the Alexandria database.

Cell and atoms, written as POSCAR:
```
Pm6Dy3Sc
1.0
8.710 0.000 4.622
3.129 8.129 4.622
2.182 1.498 6.406
Pm Dy Sc
6 3 1
Direct
0.437 0.769 0.698 Pm
0.263 0.931 0.201 Pm
0.769 0.096 0.698 Pm
0.931 0.605 0.201 Pm
0.605 0.263 0.201 Pm
0.096 0.437 0.698 Pm
0.350 0.350 0.951 Dy
0.604 0.604 0.188 Dy
0.096 0.096 0.713 Dy
0.850 0.850 0.451 Sc
```

Calculated values
Volume = 33.3 Å³/atom
SG = No. 148
Crystal system = trigonal
N(E_F) = 20.2 states/eV per cell

***

two:
First-principles (PBE-GGA) data for a relaxed structure of Pm6Dy3Sc, as listed in the Alexandria database.

Cell and atoms, written as POSCAR:
```
Pm6Dy3Sc
1.0
6.241 0.000 0.000
0.000 10.934 -1.673
0.000 -4.071 10.285
Pm Dy Sc
12 6 2
Direct
0.651 0.276 0.724 Pm
0.543 0.622 0.710 Pm
0.543 0.290 0.378 Pm
0.856 0.477 0.055 Pm
0.043 0.710 0.622 Pm
0.043 0.378 0.290 Pm
0.151 0.724 0.276 Pm
0.356 0.055 0.477 Pm
0.420 0.956 0.044 Pm
0.920 0.044 0.956 Pm
0.356 0.523 0.945 Pm
0.856 0.945 0.523 Pm
0.961 0.053 0.276 Dy
0.961 0.724 0.947 Dy
0.571 0.614 0.386 Dy
0.461 0.947 0.724 Dy
0.461 0.276 0.053 Dy
0.071 0.386 0.614 Dy
0.622 0.799 0.201 Sc
0.122 0.201 0.799 Sc
```

Calculated values
Volume = 33.0 Å³/atom
SG = No. 36
Crystal system = orthorhombic
N(E_F) = 26.6 states/eV per cell

***

two wins, 80 meV per atom ahead of the next structure.

***

one:
First-principles (PBE-GGA) data for a relaxed structure of Pm3Dy2Sc4, as listed in the Alexandria database.

Cell and atoms, written as POSCAR:
```
Pm3Dy2Sc4
1.0
6.274 0.475 1.984
2.410 9.927 3.169
2.009 -0.371 9.140
Pm Sc Dy
6 8 4
Direct
0.265 0.450 0.521 Pm
0.166 0.031 0.186 Pm
0.493 0.296 0.830 Pm
0.834 0.969 0.814 Pm
0.735 0.550 0.479 Pm
0.507 0.704 0.170 Pm
0.404 0.884 0.478 Sc
0.955 0.790 0.167 Sc
0.927 0.789 0.522 Sc
0.073 0.211 0.478 Sc
0.045 0.210 0.833 Sc
0.596 0.116 0.522 Sc
0.709 0.541 0.839 Sc
0.291 0.459 0.161 Sc
0.852 0.368 0.166 Dy
0.148 0.632 0.834 Dy
0.380 0.876 0.833 Dy
0.620 0.124 0.167 Dy
```

Calculated values
Volume = 29.3 Å³/atom
SG = No. 2
Crystal system = triclinic
N(E_F) = 29.9 states/eV per cell

***

two:
First-principles (PBE-GGA) data for a relaxed structure of Pm3Dy2Sc4, as listed in the Alexandria database.

Cell and atoms, written as POSCAR:
```
Pm3Dy2Sc4
1.0
5.540 1.484 1.062
2.069 10.640 0.642
2.069 4.037 9.866
Sc Pm Dy
8 6 4
Direct
0.388 0.595 0.867 Sc
0.061 0.828 0.065 Sc
0.888 0.867 0.595 Sc
0.939 0.172 0.935 Sc
0.561 0.065 0.828 Sc
0.439 0.935 0.172 Sc
0.612 0.405 0.133 Sc
0.112 0.133 0.405 Sc
0.226 0.955 0.719 Pm
0.750 0.351 0.649 Pm
0.774 0.045 0.281 Pm
0.250 0.649 0.351 Pm
0.726 0.719 0.955 Pm
0.274 0.281 0.045 Pm
0.943 0.499 0.266 Dy
0.557 0.734 0.501 Dy
0.057 0.501 0.734 Dy
0.443 0.266 0.499 Dy
```

Calculated values
Volume = 29.1 Å³/atom
SG = No. 15
Crystal system = monoclinic
N(E_F) = 29.0 states/eV per cell

***

one wins, 64 meV per atom ahead of the next structure.

***

one:
First-principles (PBE-GGA) data for a relaxed structure of Pm7Dy3Sc, as listed in the Alexandria database.

Cell and atoms, written as POSCAR:
```
Pm7Dy3Sc
1.0
9.667 -2.438 2.109
-5.619 8.236 -2.108
2.571 -1.795 12.229
Pm Dy Sc
14 6 2
Direct
0.086 0.420 0.027 Pm
0.914 0.580 0.973 Pm
0.578 0.905 0.022 Pm
0.846 0.157 0.274 Pm
0.580 0.914 0.527 Pm
0.157 0.846 0.227 Pm
0.905 0.577 0.478 Pm
0.325 0.325 0.750 Pm
0.095 0.422 0.522 Pm
0.420 0.086 0.473 Pm
0.423 0.095 0.978 Pm
0.675 0.675 0.250 Pm
0.154 0.843 0.727 Pm
0.843 0.154 0.774 Pm
0.673 0.326 0.229 Dy
0.000 0.000 0.000 Dy
0.327 0.674 0.771 Dy
0.326 0.673 0.271 Dy
0.674 0.327 0.729 Dy
0.000 0.000 0.500 Dy
0.500 0.500 0.500 Sc
0.500 0.500 0.000 Sc
```

Calculated values
Volume = 34.5 Å³/atom
SG = No. 15
Crystal system = monoclinic
N(E_F) = 33.8 states/eV per cell

***

two:
First-principles (PBE-GGA) data for a relaxed structure of Pm7Dy3Sc, as listed in the Alexandria database.

Cell and atoms, written as POSCAR:
```
Pm7Dy3Sc
1.0
-2.624 0.118 -5.178
-4.936 -3.991 5.667
-2.117 6.913 4.487
Pm Dy Sc
7 3 1
Direct
0.690 0.978 0.402 Pm
0.690 0.402 0.978 Pm
0.785 0.786 0.786 Pm
0.310 0.598 0.022 Pm
0.215 0.214 0.214 Pm
0.310 0.022 0.598 Pm
0.000 0.500 0.500 Pm
0.500 0.000 0.000 Dy
0.000 0.203 0.797 Dy
0.000 0.797 0.203 Dy
0.500 0.500 0.500 Sc
```

Calculated values
Volume = 33.8 Å³/atom
SG = No. 12
Crystal system = monoclinic
N(E_F) = 14.5 states/eV per cell

***

one wins, 38 meV per atom ahead of the next structure.

***

one:
First-principles (PBE-GGA) data for a relaxed structure of Pm2DySc, as listed in the Alexandria database.

Cell and atoms, written as POSCAR:
```
Pm2DySc
1.0
-2.259 -4.361 0.238
2.951 -1.728 -3.668
3.337 -1.542 3.411
Dy Sc Pm
1 1 2
Direct
0.500 0.500 0.500 Dy
0.500 0.000 0.000 Sc
0.000 0.000 0.500 Pm
0.000 0.500 0.000 Pm
```

Calculated values
Volume = 30.9 Å³/atom
SG = No. 123
Crystal system = tetragonal
N(E_F) = 5.9 states/eV per cell

***

two:
First-principles (PBE-GGA) data for a relaxed structure of Pm2DySc, as listed in the Alexandria database.

Cell and atoms, written as POSCAR:
```
Pm2DySc
1.0
-0.442 -3.192 -1.497
4.177 1.428 -4.279
4.979 -3.843 10.934
Pm Sc Dy
4 2 2
Direct
0.913 0.891 0.311 Pm
0.173 0.990 0.832 Pm
0.413 0.391 0.312 Pm
0.673 0.490 0.832 Pm
0.793 0.356 0.071 Sc
0.293 0.856 0.071 Sc
0.041 0.438 0.569 Dy
0.541 0.938 0.569 Dy
```

Calculated values
Volume = 31.1 Å³/atom
SG = No. 8
Crystal system = monoclinic
N(E_F) = 13.2 states/eV per cell

***

one wins, 12 meV per atom ahead of the next structure.

***

one:
First-principles (PBE-GGA) data for a relaxed structure of Pm2DySc, as listed in the Alexandria database.

Cell and atoms, written as POSCAR:
```
Pm2DySc
1.0
3.578 0.000 0.000
0.000 3.578 0.000
0.000 0.000 9.688
Pm Dy Sc
2 1 1
Direct
0.000 0.000 0.761 Pm
0.000 0.000 0.239 Pm
0.500 0.500 0.500 Dy
0.500 0.500 0.000 Sc
```

Calculated values
Volume = 31.0 Å³/atom
SG = No. 123
Crystal system = tetragonal
N(E_F) = 6.1 states/eV per cell

***

two:
First-principles (PBE-GGA) data for a relaxed structure of Pm2DySc, as listed in the Alexandria database.

Cell and atoms, written as POSCAR:
```
Pm2DySc
1.0
3.377 0.000 0.000
0.000 5.688 0.000
0.000 0.000 13.070
Sc Pm Dy
2 4 2
Direct
0.250 0.750 0.959 Sc
0.750 0.250 0.041 Sc
0.250 0.250 0.814 Pm
0.750 0.750 0.186 Pm
0.750 0.250 0.307 Pm
0.250 0.750 0.693 Pm
0.750 0.250 0.570 Dy
0.250 0.750 0.430 Dy
```

Calculated values
Volume = 31.4 Å³/atom
SG = No. 59
Crystal system = orthorhombic
N(E_F) = 16.7 states/eV per cell

***

three:
First-principles (PBE-GGA) data for a relaxed structure of Pm2DySc, as listed in the Alexandria database.

Cell and atoms, written as POSCAR:
```
Pm2DySc
1.0
-1.033 -1.026 3.241
-2.650 -2.339 0.363
6.267 -9.660 0.887
Pm Dy Sc
2 1 1
Direct
0.253 0.253 0.242 Pm
0.081 0.081 0.758 Pm
0.500 0.500 0.501 Dy
0.667 0.667 0.999 Sc
```

Calculated values
Volume = 31.1 Å³/atom
SG = No. 160
Crystal system = trigonal
N(E_F) = 5.8 states/eV per cell

***

four:
First-principles (PBE-GGA) data for a relaxed structure of Pm2DySc, as listed in the Alexandria database.

Cell and atoms, written as POSCAR:
```
Pm2DySc
1.0
5.608 0.000 0.000
2.804 4.856 0.000
2.804 1.619 4.579
Sc Pm Dy
1 2 1
Direct
0.500 0.500 0.500 Sc
0.250 0.250 0.250 Pm
0.750 0.750 0.750 Pm
0.000 0.000 0.000 Dy
```

Calculated values
Volume = 31.2 Å³/atom
SG = No. 225
Crystal system = cubic
N(E_F) = 6.5 states/eV per cell

***

one wins, 12 meV per atom ahead of the next structure.

***

one:
First-principles (PBE-GGA) data for a relaxed structure of PmDy5Sc4, as listed in the Alexandria database.

Cell and atoms, written as POSCAR:
```
PmDy5Sc4
1.0
-4.074 0.100 3.519
2.551 -10.377 3.247
6.204 3.739 7.076
Pm Dy Sc
2 10 8
Direct
0.750 0.500 0.500 Pm
0.250 0.000 0.000 Pm
0.250 0.799 0.801 Dy
0.750 0.701 0.699 Dy
0.250 0.201 0.199 Dy
0.750 0.500 0.000 Dy
0.250 0.799 0.199 Dy
0.250 0.000 0.500 Dy
0.750 0.299 0.699 Dy
0.750 0.701 0.301 Dy
0.750 0.299 0.301 Dy
0.250 0.201 0.801 Dy
0.250 0.500 0.254 Sc
0.750 0.000 0.246 Sc
0.750 0.000 0.754 Sc
0.250 0.307 0.500 Sc
0.250 0.500 0.746 Sc
0.750 0.193 0.000 Sc
0.750 0.807 0.000 Sc
0.250 0.693 0.500 Sc
```

Calculated values
Volume = 30.4 Å³/atom
SG = No. 71
Crystal system = orthorhombic
N(E_F) = 33.4 states/eV per cell

***

two:
First-principles (PBE-GGA) data for a relaxed structure of PmDy5Sc4, as listed in the Alexandria database.

Cell and atoms, written as POSCAR:
```
PmDy5Sc4
1.0
6.173 0.000 0.000
3.087 6.944 0.000
3.087 0.000 6.944
Pm Dy Sc
1 5 4
Direct
0.223 0.000 0.000 Pm
0.196 0.901 0.608 Dy
0.097 0.608 0.099 Dy
0.803 0.392 0.901 Dy
0.678 0.000 0.000 Dy
0.705 0.099 0.392 Dy
0.094 0.301 0.415 Sc
0.810 0.699 0.585 Sc
0.395 0.415 0.699 Sc
0.509 0.585 0.301 Sc
```

Calculated values
Volume = 29.8 Å³/atom
SG = No. 79
Crystal system = tetragonal
N(E_F) = 15.7 states/eV per cell

***

one wins, 53 meV per atom ahead of the next structure.